No. 1
Li9Zn4Ag (PBE, optimized geometry); E_form = -128 meV per atom; electronic total energy = -53.94 eV/cell; total magnetic moment = 0.0 μB per formula unit
1.0
8.257 0.000 0.000
-4.129 7.151 0.000
0.000 0.000 8.346
Li Zn Ag
18 8 2
Cartesian
-1.540 3.878 2.086
0.000 2.742 4.602
0.000 2.742 7.917
-1.754 5.780 4.602
-1.754 5.780 7.917
2.375 1.371 0.429
2.375 1.371 3.744
1.540 3.878 2.086
0.000 6.545 2.086
4.129 0.606 6.259
2.589 3.273 6.259
1.754 5.780 4.602
1.754 5.780 7.917
5.883 1.371 0.429
5.883 1.371 3.744
4.129 4.409 0.429
4.129 4.409 3.744
5.668 3.273 6.259
0.000 0.000 0.000
0.000 0.000 4.173
0.000 1.622 2.086
-2.724 6.340 2.086
1.405 0.811 6.259
2.724 6.340 2.086
6.852 0.811 6.259
4.129 5.529 6.259
0.000 4.767 6.259
4.129 2.384 2.086



No. 2
Li4Zn2Ag5 (PBE, optimized geometry); E_form = -157 meV per atom; electronic total energy = -26.19 eV/cell; polymorph energy (0 for the lowest one) = 21 meV per atom; total magnetic moment = 0.0 μB per formula unit
1.0
7.339 -2.182 0.000
7.339 2.182 0.000
-0.485 0.000 5.619
Li Zn Ag
4 2 5
Cartesian
0.529 0.000 1.357
5.811 0.000 0.292
8.382 0.000 5.327
13.664 0.000 4.262
4.432 0.000 3.312
9.761 0.000 2.307
1.704 0.000 3.780
3.165 0.000 0.850
7.097 0.000 2.810
11.028 0.000 4.769
12.489 0.000 1.839



No. 3
Li2Zn5Ag3 (PBE, optimized geometry); E_form = -9 meV per atom; electronic total energy = -37.69 eV/cell; polymorph energy (0 for the lowest one) = 97 meV per atom; total magnetic moment = 0.0 μB per formula unit
1.0
-4.765 7.003 2.583
4.765 -7.003 2.583
4.765 7.003 -2.583
Li Zn Ag
4 10 6
Cartesian
2.141 1.037 0.000
2.141 -1.037 2.583
2.624 8.039 0.000
2.624 5.966 2.583
4.765 4.421 -1.292
4.358 2.210 0.000
4.765 0.000 1.292
4.358 -2.210 2.583
0.000 2.582 1.292
4.765 4.421 1.292
0.407 9.212 0.000
0.000 7.003 1.292
0.407 4.793 2.583
0.000 2.582 3.875
7.008 2.861 0.000
0.000 0.000 1.292
2.243 4.142 0.000
2.522 2.861 2.583
0.000 0.000 3.875
-2.243 4.142 2.583



No. 4
LiZn3Ag6 (PBE, optimized geometry); E_form = -75 meV per atom; electronic total energy = -47.18 eV/cell; polymorph energy (0 for the lowest one) = 0 meV per atom; total magnetic moment = 0.0 μB per formula unit
1.0
7.693 0.000 0.000
0.000 4.606 0.000
-2.952 0.000 9.322
Li Zn Ag
2 6 12
Cartesian
-0.652 1.152 3.604
5.393 3.455 5.718
-1.019 1.152 9.197
0.165 3.455 7.566
1.815 1.152 5.451
2.927 3.455 3.871
4.577 1.152 1.756
5.761 3.455 0.125
-2.332 3.455 8.505
0.487 3.455 2.049
-0.771 1.152 6.381
0.333 3.455 4.853
2.004 1.152 2.670
3.164 3.455 0.978
1.577 1.152 8.344
2.737 3.455 6.653
4.409 1.152 4.469
5.513 3.455 2.941
4.254 1.152 7.273
7.074 1.152 0.817



No. 5
Li7ZnAg12 (PBE, optimized geometry); E_form = -86 meV per atom; electronic total energy = -50.61 eV/cell; total magnetic moment = 0.0 μB per formula unit
1.0
5.034 2.907 4.140
-5.034 2.907 4.140
0.000 -5.813 4.140
Li Zn Ag
7 1 12
Cartesian
0.000 0.000 0.000
-1.121 -1.442 3.808
-0.689 1.692 3.808
1.809 -0.249 3.808
-1.810 0.249 8.611
0.689 -1.692 8.611
1.121 1.442 8.611
0.000 0.000 6.209
-1.675 -4.224 5.122
-4.496 -0.661 7.297
-1.970 -1.871 6.631
-2.605 0.770 5.787
-2.821 3.563 5.122
0.636 -2.641 5.787
-0.636 2.641 6.631
2.821 -3.563 7.297
2.605 -0.770 6.631
1.970 1.871 5.787
4.496 0.661 5.122
1.675 4.224 7.297



No. 6
Li3Zn4Ag4 (PBE, optimized geometry); E_form = -51 meV per atom; electronic total energy = -22.80 eV/cell; polymorph energy (0 for the lowest one) = 88 meV per atom; total magnetic moment = 0.0 μB per formula unit
1.0
-1.912 3.884 6.824
1.912 -3.884 6.824
1.912 3.884 -6.824
Li Zn Ag
3 4 4
Cartesian
0.000 0.000 0.000
1.912 0.000 5.109
0.000 3.884 1.715
0.000 0.000 3.194
1.912 2.599 0.000
0.000 1.285 6.824
0.000 0.000 10.455
1.912 1.532 -2.321
1.912 1.532 2.321
0.000 2.352 4.503
0.000 2.352 9.145